(1)
First-principles (PBE) data for a relaxed structure of NpBeCu, as listed in Alexandria via LeMat-Bulk.

The structure in POSCAR format:
```
NpBeCu
1.0
5.526 0.888 1.727
3.530 4.344 1.727
7.970 4.604 7.261
Np Cu Be
2 2 2
Direct
0.060 0.060 0.404 Np
0.694 0.694 0.904 Np
0.979 0.979 0.903 Cu
0.775 0.775 0.404 Cu
0.377 0.377 0.403 Be
0.376 0.376 0.904 Be
```

Computed properties:
**Total energy**: -6.72 eV per atom
**Total magnetic moment**: 0.80 μB/atom
**Symmetry**: Cmcm



(2)
First-principles (PBE) data for a relaxed structure of NpBeCuO6, as listed in Alexandria via LeMat-Bulk.

The structure in POSCAR format:
```
NpBeCuO6
1.0
4.981 0.000 0.000
-2.490 4.313 0.000
0.000 0.000 8.770
O Np Cu Be
12 2 2 2
Direct
0.978 0.648 0.368 O
0.669 0.022 0.368 O
0.022 0.352 0.632 O
0.978 0.331 0.132 O
0.022 0.669 0.868 O
0.648 0.669 0.632 O
0.669 0.648 0.132 O
0.648 0.978 0.868 O
0.352 0.331 0.368 O
0.331 0.978 0.632 O
0.352 0.022 0.132 O
0.331 0.352 0.868 O
0.333 0.667 0.250 Np
0.667 0.333 0.750 Np
0.000 0.000 0.000 Cu
0.000 0.000 0.500 Cu
0.333 0.667 0.750 Be
0.667 0.333 0.250 Be
```

Computed properties:
**Raw formation energy**: -1.676 eV/atom
**Total energy**: -7.29 eV per atom
**Total magnetic moment**: 0.16 μB/atom
**Symmetry**: P-31c